## LaTb5Pr8 (GGA-PBE)

Data for crystalline LaTb5Pr8 at its relaxed geometry.

```
LaTb5Pr8
1.0
-4.8619 4.8619 5.2755
4.8619 -4.8619 5.2755
4.8619 4.8619 -5.2755
La Tb Pr
1 5 8
direct
0.0000 0.0000 0.0000 La
0.0262 0.2124 0.5949 Tb
0.2500 0.7500 0.5000 Tb
0.5687 0.9738 0.1862 Tb
0.6175 0.4313 0.4051 Tb
0.7876 0.3825 0.8138 Tb
0.0872 0.6827 0.7660 Pr
0.2820 0.5288 0.1040 Pr
0.3173 0.0834 0.4045 Pr
0.4248 0.1780 0.8960 Pr
0.4712 0.5752 0.7532 Pr
0.6788 0.9128 0.5955 Pr
0.8220 0.7180 0.2468 Pr
0.9166 0.3212 0.2340 Pr
```

Values from the calculation:
Formation enthalpy at 0 K (eV/atom): 0.22
Space group: I-4 (82)